Record 1
An optimized crystal structure of Pr3Dy2Tl, computed with PBE.

The space group is Cmmm (No. 65) and the conventional cell measures 5.0448, 15.4270 and 4.9475 Å, with angles of 90.00, 90.00 and 90.00 degrees. The asymmetric unit holds Pr at (0.0000, 0.0000, 0.0000), Pr at (0.0000, 0.3304, 0.0000), Dy at (0.0000, 0.1636, 0.5000) and Tl at (0.0000, 0.5000, 0.5000).

Its total energy is -4.425 eV/atom. As for the crystal system: orthorhombic. The formation energy comes out at -107 meV/atom. For the distance to the lowest polymorph of the same formula, the calculation gives 0.0 meV/atom.

=====

Record 2
An optimized crystal structure of Sc4Sn2Ru, computed with PBE.

The space group is I4/mmm (No. 139) and the conventional cell measures 4.8057, 4.8057 and 15.3450 Å, with angles of 90.00, 90.00 and 90.00 degrees. The asymmetric unit holds Sc at (0.0000, 0.0000, 0.1723), Sc at (0.0000, 0.5000, 0.0000), Sn at (0.0000, 0.0000, 0.3620) and Ru at (0.0000, 0.0000, 0.0000).

Its total energy is -6.392 eV/atom. As for the crystal system: tetragonal. The formation energy comes out at -305 meV/atom.

=====

Record 3
An optimized crystal structure of Hf7Ga2Co2, computed with PBE.

The space group is Cmmm (No. 65) and the conventional cell measures 7.2881, 9.8949 and 6.2144 Å, with angles of 90.00, 90.00 and 90.00 degrees. The asymmetric unit holds Hf at (0.0000, 0.0000, 0.0000), Hf at (0.0000, 0.5000, 0.2478), Hf at (0.2500, 0.2500, 0.2524), Ga at (0.1722, 0.0000, 0.5000) and Co at (0.0000, 0.2849, 0.0000).

Its total energy is -8.249 eV/atom. As for the crystal system: orthorhombic. The formation energy comes out at -73 meV/atom.

=====

Record 4
An optimized crystal structure of PrY2Br, computed with PBE.

The space group is R-3m (No. 166, hexagonal axes) and the conventional cell measures 3.5282, 3.5282 and 34.5481 Å, with angles of 90.00, 90.00 and 120.00 degrees. The asymmetric unit holds Pr at (0.0000, 0.0000, 0.0000), Y at (0.0000, 0.0000, 0.0989) and Br at (0.0000, 0.0000, 0.5000).

Its total energy is -5.110 eV/atom. As for the crystal system: trigonal.

=====

Record 5
An optimized crystal structure of Be4Nb3Fe2, computed with PBE.

The space group is C2/m (No. 12) and the conventional cell measures 8.9892, 3.6622 and 7.1112 Å, with angles of 90.00, 110.62 and 90.00 degrees. The asymmetric unit holds Be at (0.0757, 0.0000, 0.4029), Be at (0.2208, 0.5000, 0.0638), Nb at (0.0000, 0.0000, 0.0000), Nb at (0.1387, 0.5000, 0.6950) and Fe at (0.1804, 0.5000, 0.3494).

Its total energy is -6.988 eV/atom. As for the crystal system: monoclinic. The formation energy comes out at -95 meV/atom.

=====

Record 6
An optimized crystal structure of Ce2PmAu6, computed with PBE.

The space group is Immm (No. 71) and the conventional cell measures 3.6874, 7.7775 and 14.8901 Å, with angles of 90.00, 90.00 and 90.00 degrees. The asymmetric unit holds Ce at (0.0000, 0.0000, 0.1414), Pm at (0.0000, 0.5000, 0.0000), Au at (0.0000, 0.1844, 0.3239) and Au at (0.0000, 0.3164, 0.5000).

Its total energy is -4.674 eV/atom. As for the crystal system: orthorhombic. The formation energy comes out at -642 meV/atom. For the distance to the lowest polymorph of the same formula, the calculation gives 62.2 meV/atom.

=====

Record 7
An optimized crystal structure of NaHfBe3, computed with PBE.

The space group is Pm-3m (No. 221) and the conventional cell measures 4.9411, 4.9411 and 4.9411 Å, with angles of 90.00, 90.00 and 90.00 degrees. The asymmetric unit holds Na at (0.0000, 0.0000, 0.0000), Hf at (0.5000, 0.5000, 0.5000) and Be at (0.0000, 0.5000, 0.5000).

Its total energy is -2.997 eV/atom. As for the crystal system: cubic. The formation energy comes out at 1494 meV/atom. For the distance to the lowest polymorph of the same formula, the calculation gives 255.4 meV/atom.

=====

Record 8
An optimized crystal structure of Y4TmTh2, computed with PBE.

The space group is P2/m (No. 10) and the conventional cell measures 6.0998, 3.5682 and 11.0361 Å, with angles of 90.00, 99.57 and 90.00 degrees. The asymmetric unit holds Y at (0.0779, 0.0000, 0.2081), Y at (0.4081, 0.5000, 0.7432), Tm at (0.5000, 0.0000, 0.0000), Th at (0.0000, 0.5000, 0.5000) and Th at (0.5000, 0.0000, 0.5000).

Its total energy is -6.258 eV/atom. As for the crystal system: monoclinic. The formation energy comes out at 195 meV/atom. For the distance to the lowest polymorph of the same formula, the calculation gives 0.0 meV/atom.